1.
The following is a DFT calculation (PBE) of LiYTmFe after structural relaxation.

Cell: 4.823 4.823 4.823 Å, 60.00 60.00 60.00°
Positions (direct):
Y: 0.000 0.000 0.000
Tm: 0.500 0.500 0.500
Li: 0.750 0.750 0.750
Fe: 0.250 0.250 0.250

Properties
SG   F-43m (216)
ρ   6.71 g cm⁻³
Uncorrected energy   -5.249 eV/atom

=====

2.
The following is a DFT calculation (PBE) of Dy6CoHg2 after structural relaxation.

Cell: 6.925 7.179 10.089 Å, 90.00 90.25 90.00°
Positions (direct):
Dy: 0.302 0.799 0.049
Dy: 0.399 0.507 0.750
Dy: 0.805 0.700 0.955
Co: 0.000 0.000 0.500
Hg: 0.531 0.923 0.748
Dy: 0.899 0.993 0.250
Dy: 0.305 0.800 0.455
Hg: 0.031 0.577 0.248
Co: 0.500 0.500 0.000
Dy: 0.698 0.201 0.951
Dy: 0.601 0.493 0.250
Dy: 0.198 0.299 0.451
Hg: 0.969 0.423 0.752
Dy: 0.101 0.007 0.750
Dy: 0.695 0.200 0.545
Dy: 0.802 0.701 0.549
Hg: 0.469 0.077 0.252
Dy: 0.195 0.300 0.045

Properties
SG   P2_1/c (14)
ρ   9.50 g cm⁻³
Uncorrected energy   -4.164 eV/atom